# 1
DFT (PBE) results for Cs5Tl3F12 after structural relaxation.

Unit cell a=16.747 b=16.747 c=16.747 alpha=90.00 beta=90.00 gamma=90.00
Space group Ia-3d (No. 230)
Inequivalent atoms, fractional coordinates:
Cs1 0.000 0.000 0.000 (multiplicity 16)
Cs2 0.000 0.250 0.375 (multiplicity 24)
Tl1 0.000 0.250 0.125 (multiplicity 24)
F1 0.032 0.043 0.334 (multiplicity 96)

The value obtained for the uncorrected energy is -0.142 hartree per atom. Its energy relative to the elements, uncorrected is -2.1753 eV per atom.

---

# 2
DFT (PBE) results for TaRe3 after structural relaxation.

Unit cell a=2.7993 b=2.7993 c=28.0586 alpha=90.00 beta=90.00 gamma=120.00
Space group R-3m (No. 166, hexagonal axes)
Inequivalent atoms, fractional coordinates:
Ta1 0.0000 0.0000 0.0000 (multiplicity 3)
Re1 0.0000 0.0000 0.2455 (multiplicity 6)
Re2 0.0000 0.0000 0.5000 (multiplicity 3)

The value obtained for the uncorrected energy is -0.448 hartree per atom. The energy of formation from the pure elements comes out at 0.111 eV/atom.

---

The lowest uncorrected energy belongs to which entry? TaRe3

---

What is the formula in the second record? TaRe3

---

Please write out number 1 again, unchanged.
DFT (PBE) results for Cs5Tl3F12 after structural relaxation.

Unit cell a=16.747 b=16.747 c=16.747 alpha=90.00 beta=90.00 gamma=90.00
Space group Ia-3d (No. 230)
Inequivalent atoms, fractional coordinates:
Cs1 0.000 0.000 0.000 (multiplicity 16)
Cs2 0.000 0.250 0.375 (multiplicity 24)
Tl1 0.000 0.250 0.125 (multiplicity 24)
F1 0.032 0.043 0.334 (multiplicity 96)

The value obtained for the uncorrected energy is -0.142 hartree per atom. Its energy relative to the elements, uncorrected is -2.1753 eV per atom.

---

Look up the uncorrected energy of the second one. -0.448 hartree per atom